Here is a relaxed structure of Sm3Ni13B2 from Alexandria. Energies are from PBE.

Lattice parameters (Å, degrees): 5.002 5.002 10.934 90.00 90.00 120.00
Element x y z (fractional)
Sm1 0.000 0.000 0.000
Sm2 0.000 0.000 0.329
Sm3 0.000 0.000 0.671
Ni1 0.000 0.500 0.133
Ni2 0.000 0.500 0.500
Ni3 0.000 0.500 0.867
Ni4 0.333 0.667 0.319
Ni5 0.333 0.667 0.681
Ni6 0.500 0.000 0.133
Ni7 0.500 0.000 0.500
Ni8 0.500 0.000 0.867
Ni9 0.500 0.500 0.133
Ni10 0.500 0.500 0.500
Ni11 0.500 0.500 0.867
Ni12 0.667 0.333 0.319
Ni13 0.667 0.333 0.681
B1 0.333 0.667 0.000
B2 0.667 0.333 0.000

theoretical density	8.7	g/cm3
density of states at the Fermi level	15.01	states/eV/f.u.

---

Here is a relaxed structure of La5CeNd2 from Alexandria. Energies are from PBE.

Lattice parameters (Å, degrees): 9.885 9.885 6.703 98.10 98.10 62.58
Element x y z (fractional)
La1 0.063 0.937 0.750
La2 0.126 0.291 0.021
La3 0.291 0.126 0.521
La4 0.311 0.501 0.847
La5 0.499 0.689 0.653
La6 0.501 0.311 0.347
La7 0.689 0.499 0.153
La8 0.709 0.874 0.479
La9 0.874 0.709 0.979
La10 0.937 0.063 0.250
Ce1 0.000 0.500 0.500
Ce2 0.500 0.000 0.000
Nd1 0.174 0.653 0.359
Nd2 0.347 0.826 0.141
Nd3 0.653 0.174 0.859
Nd4 0.826 0.347 0.641

theoretical density	6.5	g/cm3
density of states at the Fermi level	17.23	states/eV/f.u.

---

Here is a relaxed structure of AlReNi2 from Alexandria. Energies are from PBE.

Lattice parameters (Å, degrees): 8.323 8.323 8.323 18.74 18.74 18.74
Element x y z (fractional)
Al1 0.000 0.000 0.000
Re1 0.757 0.757 0.757
Ni1 0.255 0.255 0.255
Ni2 0.507 0.507 0.507

theoretical density	10.6	g/cm3
density of states at the Fermi level	5.70	states/eV/f.u.

---

Here is a relaxed structure of Al7Cu6 from Alexandria. Energies are from PBE.

Lattice parameters (Å, degrees): 8.802 8.802 8.802 34.69 34.69 34.69
Element x y z (fractional)
Al1 0.000 0.000 0.000
Al2 0.084 0.084 0.578
Al3 0.084 0.578 0.084
Al4 0.422 0.916 0.916
Al5 0.578 0.084 0.084
Al6 0.916 0.422 0.916
Al7 0.916 0.916 0.422
Cu1 0.166 0.166 0.166
Cu2 0.338 0.338 0.338
Cu3 0.443 0.443 0.443
Cu4 0.557 0.557 0.557
Cu5 0.662 0.662 0.662
Cu6 0.834 0.834 0.834

theoretical density	4.8	g/cm3
density of states at the Fermi level	4.64	states/eV/f.u.

---

no.,total energy (eV/atom),ΔE_f (kcal/mol of atoms)
1,-6.097,-9.07
2,-4.870,3.31
3,-6.980,-0.96
4,-3.769,3.16